The following is a PBE-GGA calculation of a geometry-optimized Er2B4Mo3 structure, from the Open Quantum Materials Database.

Computed properties:
total moment = 0.00 μB per cell
final energy = -144.08 eV per cell

a b c (Å): 6.287 6.364 6.134
angles (deg): 90.00 106.53 90.00
Positions (direct):
Er1 0.191 0.172 0.088
Er2 0.191 0.328 0.588
Er3 0.809 0.672 0.412
Er4 0.809 0.828 0.912
B1 0.080 0.532 0.900
B2 0.080 0.968 0.400
B3 0.498 0.606 0.610
B4 0.498 0.894 0.110
B5 0.502 0.106 0.890
B6 0.502 0.394 0.390
B7 0.920 0.032 0.600
B8 0.920 0.468 0.100
Mo1 0.259 0.680 0.250
Mo2 0.259 0.820 0.750
Mo3 0.500 0.000 0.500
Mo4 0.500 0.500 0.000
Mo5 0.741 0.180 0.250
Mo6 0.741 0.320 0.750